Record 1
A plane-wave DFT calculation with PBE-GGA was carried out for a relaxed VCo2Mo crystal.

Calculated values
Symmetry: No. 59
VASP energy, eV/atom: -8.59
Formation energy, eV/atom: -0.046

Cell and atoms, written as extended XYZ:
```
8
Lattice="4.208 0.000 0.000 0.000 4.534 0.000 0.000 0.000 5.186" Properties=species:S:1:pos:R:3 pbc="T T T"
Mo 2.104 3.719 0.000
Mo 0.000 0.816 2.593
Co 2.104 1.470 1.294
Co 2.104 1.470 3.893
Co 0.000 3.064 3.887
Co 0.000 3.064 1.300
V 2.104 3.623 2.593
V 0.000 0.912 0.000
```

Record 2
A plane-wave DFT calculation with PBE-GGA was carried out for a relaxed TaSnIO2 crystal.

Calculated values
Energy relative to the elements, uncorrected, eV/atom: -0.85
Symmetry: No. 123
VASP energy, eV/atom: -6.31

Cell and atoms, written as extended XYZ:
```
5
Lattice="-2.413 -3.205 -0.898 -0.178 -0.984 3.987 -4.945 3.540 0.653" Properties=species:S:1:pos:R:3 pbc="T T T"
Ta 0.000 0.000 0.000
Sn -3.768 -0.325 1.871
O -1.206 -1.602 -0.449
O -0.089 -0.492 1.994
I -2.472 1.770 0.327
```

no.,energy above the most stable polymorph in this dataset (meV/atom)
1,7.8
2,0.0